Here is crystalline Sr2Ge2As at its relaxed geometry from Alexandria via LeMat-Bulk. Energies are from GGA-PBE.

Lattice parameters (Å, degrees): 7.605 7.605 4.632 90.00 90.00 90.00
Space group P4/mbm (No. 127)
Symmetry-distinct sites (fractional):
Sr 0.181 0.319 0.000 (multiplicity 4)
Ge 0.119 0.619 0.500 (multiplicity 4)
As 0.000 0.000 0.500 (multiplicity 2)

**DOS at the Fermi energy**: 3.91 states/eV/cell
**E_form**: -0.543 eV/atom
**E**: -3.99 eV/atom
**Magnetization**: 0.00 μB/atom